# 1
# ThMg2IrO8 PBE optimized geometry
# - uncorrected energy (eV/atom) = -6.8491
data_ThMg2IrO8
_space_group_name_H-M_alt 'P 1'
_space_group_IT_number 1
_space_group_name_Hall 'P 1'
_cell_length_a 4.740
_cell_length_b 4.740
_cell_length_c 6.716
_cell_angle_alpha 90.00
_cell_angle_beta 90.00
_cell_angle_gamma 90.77
loop_
_atom_site_label
_atom_site_type_symbol
_atom_site_fract_x
_atom_site_fract_y
_atom_site_fract_z
Th1 Th 0.000 0.000 0.000
Mg1 Mg 0.500 0.500 0.260
Mg2 Mg 0.500 0.500 0.740
Ir1 Ir 0.000 0.000 0.500
O1 O 0.194 0.806 0.291
O2 O 0.194 0.806 0.709
O3 O 0.283 0.283 0.500
O4 O 0.321 0.321 0.000
O5 O 0.679 0.679 0.000
O6 O 0.717 0.717 0.500
O7 O 0.806 0.194 0.291
O8 O 0.806 0.194 0.709


# 2
# Dy12Tm6Pu PBE optimized geometry
# - formation enthalpy at 0 K (eV/atom) = 0.033
data_Dy12Tm6Pu
_space_group_name_H-M_alt 'P 1'
_space_group_IT_number 1
_space_group_name_Hall 'P 1'
_cell_length_a 9.302
_cell_length_b 9.302
_cell_length_c 9.302
_cell_angle_alpha 110.94
_cell_angle_beta 110.94
_cell_angle_gamma 110.94
loop_
_atom_site_label
_atom_site_type_symbol
_atom_site_fract_x
_atom_site_fract_y
_atom_site_fract_z
Dy1 Dy 0.056 0.372 0.581
Dy2 Dy 0.105 0.739 0.156
Dy3 Dy 0.156 0.105 0.739
Dy4 Dy 0.261 0.844 0.895
Dy5 Dy 0.372 0.581 0.056
Dy6 Dy 0.419 0.944 0.628
Dy7 Dy 0.581 0.056 0.372
Dy8 Dy 0.628 0.419 0.944
Dy9 Dy 0.739 0.156 0.105
Dy10 Dy 0.844 0.895 0.261
Dy11 Dy 0.895 0.261 0.844
Dy12 Dy 0.944 0.628 0.419
Tm1 Tm 0.210 0.471 0.314
Tm2 Tm 0.314 0.210 0.471
Tm3 Tm 0.471 0.314 0.210
Tm4 Tm 0.529 0.686 0.790
Tm5 Tm 0.686 0.790 0.529
Tm6 Tm 0.790 0.529 0.686
Pu1 Pu 0.000 0.000 0.000


# 3
# YAs2RhSe PBE optimized geometry
# - E above lowest polymorph (eV/atom) = 1.0368
data_YAs2RhSe
_space_group_name_H-M_alt 'P 1'
_space_group_IT_number 1
_space_group_name_Hall 'P 1'
_cell_length_a 5.371
_cell_length_b 5.371
_cell_length_c 5.309
_cell_angle_alpha 90.00
_cell_angle_beta 90.00
_cell_angle_gamma 90.00
loop_
_atom_site_label
_atom_site_type_symbol
_atom_site_fract_x
_atom_site_fract_y
_atom_site_fract_z
Y1 Y 0.000 0.000 0.000
As1 As 0.000 0.500 0.000
As2 As 0.500 0.000 0.000
Rh1 Rh 0.500 0.500 0.500
Se1 Se 0.000 0.000 0.500


# 4
# Tc2RuRh PBE optimized geometry
# - E above lowest polymorph (eV/atom) = 0.1148
# - formation enthalpy at 0 K (eV/atom) = -0.017
data_Tc2RuRh
_space_group_name_H-M_alt 'P 1'
_space_group_IT_number 1
_space_group_name_Hall 'P 1'
_cell_length_a 3.851
_cell_length_b 3.851
_cell_length_c 7.692
_cell_angle_alpha 90.00
_cell_angle_beta 90.00
_cell_angle_gamma 90.00
loop_
_atom_site_label
_atom_site_type_symbol
_atom_site_fract_x
_atom_site_fract_y
_atom_site_fract_z
Tc1 Tc 0.000 0.500 0.250
Tc2 Tc 0.000 0.500 0.750
Tc3 Tc 0.500 0.000 0.250
Tc4 Tc 0.500 0.000 0.750
Ru1 Ru 0.000 0.000 0.000
Ru2 Ru 0.500 0.500 0.500
Rh1 Rh 0.000 0.000 0.500
Rh2 Rh 0.500 0.500 0.000


# 5
# Y2HPtAu PBE optimized geometry
# - E above lowest polymorph (eV/atom) = 0.0897
data_Y2HPtAu
_space_group_name_H-M_alt 'P 1'
_space_group_IT_number 1
_space_group_name_Hall 'P 1'
_cell_length_a 4.939
_cell_length_b 4.939
_cell_length_c 3.788
_cell_angle_alpha 90.00
_cell_angle_beta 90.00
_cell_angle_gamma 90.00
loop_
_atom_site_label
_atom_site_type_symbol
_atom_site_fract_x
_atom_site_fract_y
_atom_site_fract_z
Y1 Y 0.000 0.500 0.000
Y2 Y 0.500 0.000 0.000
H1 H 0.000 0.000 0.000
Pt1 Pt 0.500 0.500 0.500
Au1 Au 0.000 0.000 0.500


# 6
# Ba2Zn5Au3 PBE optimized geometry
# - formation enthalpy at 0 K (eV/atom) = -0.421
data_Ba2Zn5Au3
_space_group_name_H-M_alt 'P 1'
_space_group_IT_number 1
_space_group_name_Hall 'P 1'
_cell_length_a 9.226
_cell_length_b 9.226
_cell_length_c 9.226
_cell_angle_alpha 112.94
_cell_angle_beta 82.28
_cell_angle_gamma 138.12
loop_
_atom_site_label
_atom_site_type_symbol
_atom_site_fract_x
_atom_site_fract_y
_atom_site_fract_z
Ba1 Ba 0.123 0.246 0.368
Ba2 Ba 0.377 0.746 0.123
Ba3 Ba 0.623 0.254 0.877
Ba4 Ba 0.877 0.754 0.632
Zn1 Zn 0.005 0.750 0.255
Zn2 Zn 0.130 0.887 0.017
Zn3 Zn 0.250 0.750 0.500
Zn4 Zn 0.370 0.387 0.757
Zn5 Zn 0.495 0.750 0.745
Zn6 Zn 0.505 0.250 0.255
Zn7 Zn 0.630 0.613 0.243
Zn8 Zn 0.750 0.250 0.500
Zn9 Zn 0.870 0.113 0.983
Zn10 Zn 0.995 0.250 0.745
Au1 Au 0.123 0.625 0.749
Au2 Au 0.250 0.250 0.000
Au3 Au 0.377 0.125 0.502
Au4 Au 0.623 0.875 0.498
Au5 Au 0.750 0.750 0.000
Au6 Au 0.877 0.375 0.251


# 7
# K2LiSn2S4 PBE optimized geometry
# - uncorrected energy (eV/atom) = -4.0022
data_K2LiSn2S4
_space_group_name_H-M_alt 'P 1'
_space_group_IT_number 1
_space_group_name_Hall 'P 1'
_cell_length_a 8.645
_cell_length_b 8.645
_cell_length_c 8.217
_cell_angle_alpha 117.18
_cell_angle_beta 117.18
_cell_angle_gamma 25.36
loop_
_atom_site_label
_atom_site_type_symbol
_atom_site_fract_x
_atom_site_fract_y
_atom_site_fract_z
K1 K 0.110 0.110 0.031
K2 K 0.890 0.890 0.969
Li1 Li 0.000 0.000 0.500
Sn1 Sn 0.315 0.315 0.459
Sn2 Sn 0.685 0.685 0.541
S1 S 0.187 0.187 0.753
S2 S 0.465 0.465 0.708
S3 S 0.535 0.535 0.292
S4 S 0.813 0.813 0.247


# 8
# SrCo2Si PBE optimized geometry
# - uncorrected energy (eV/atom) = -5.2630
data_SrCo2Si
_space_group_name_H-M_alt 'P 1'
_space_group_IT_number 1
_space_group_name_Hall 'P 1'
_cell_length_a 3.883
_cell_length_b 3.922
_cell_length_c 5.397
_cell_angle_alpha 90.00
_cell_angle_beta 101.75
_cell_angle_gamma 90.00
loop_
_atom_site_label
_atom_site_type_symbol
_atom_site_fract_x
_atom_site_fract_y
_atom_site_fract_z
Sr1 Sr 0.000 0.000 0.000
Co1 Co 0.517 0.000 0.486
Co2 Co 0.818 0.500 0.450
Si1 Si 0.371 0.500 0.657